Entry 1:
This record from Alexandria describes a geometry-optimized Ca4YRe structure. The functional is PBE.

Its total magnetization is 0.2716 μB/atom. The calculation puts the formation energy from the elements at 1.059 eV/atom. The calculation puts the total energy at -3.427 eV per atom. The volume comes out at 737 Å³ per cell.

Lattice parameters (Å, degrees): 9.034 9.034 9.034 90.00 90.00 90.00
Space group F-43m (No. 216)
Symmetry-distinct sites (fractional):
Ca1 0.124 0.124 0.124 (multiplicity 16)
Y1 0.000 0.000 0.500 (multiplicity 4)
Re1 0.250 0.250 0.750 (multiplicity 4)

Entry 2:
This record from Alexandria describes a geometry-optimized Ca3YRe structure. The functional is PBE.

Its total magnetization is 0.3581 μB/atom. For the polymorph energy (0 for the lowest one), the calculation gives 0 meV/atom. The calculation puts the formation energy from the elements at 0.788 eV/atom. The calculation puts the total energy at -4.195 eV per atom. The volume comes out at 173 Å³ per cell.

Lattice parameters (Å, degrees): 5.570 5.570 5.570 90.00 90.00 90.00
Space group Pm-3m (No. 221)
Symmetry-distinct sites (fractional):
Ca1 0.000 0.000 0.500 (multiplicity 3)
Y1 0.500 0.500 0.500 (multiplicity 1)
Re1 0.000 0.000 0.000 (multiplicity 1)

Entry 3:
This record from Alexandria describes a geometry-optimized CaYRe structure. The functional is PBE.

Its total magnetization is 0.0000 μB/atom. For the polymorph energy (0 for the lowest one), the calculation gives 179 meV/atom. The calculation puts the formation energy from the elements at 0.657 eV/atom. The calculation puts the total energy at -6.314 eV per atom. The volume comes out at 79 Å³ per cell.

Lattice parameters (Å, degrees): 3.4675 3.4675 7.6234 90.00 90.00 120.00
Space group P3m1 (No. 156)
Symmetry-distinct sites (fractional):
Ca1 0.0000 0.0000 0.0000 (multiplicity 1)
Y1 0.3333 0.6667 0.5457 (multiplicity 1)
Re1 0.6667 0.3333 0.2888 (multiplicity 1)

Entry 4:
This record from Alexandria describes a geometry-optimized CaZn2Re structure. The functional is PBE.

Its total magnetization is 0.1691 μB/atom. For the polymorph energy (0 for the lowest one), the calculation gives 425 meV/atom. The calculation puts the formation energy from the elements at 0.683 eV/atom. The calculation puts the total energy at -3.567 eV per atom. The volume comes out at 286 Å³ per cell.

Lattice parameters (Å, degrees): 6.592 6.592 6.592 90.00 90.00 90.00
Space group F-43m (No. 216)
Symmetry-distinct sites (fractional):
Ca1 0.000 0.000 0.000 (multiplicity 4)
Zn1 0.000 0.000 0.500 (multiplicity 4)
Zn2 0.250 0.250 0.250 (multiplicity 4)
Re1 0.250 0.250 0.750 (multiplicity 4)

Entry 5:
This record from Alexandria describes a geometry-optimized CaZn2Re structure. The functional is PBE.

Its total magnetization is 0.0000 μB/atom. For the polymorph energy (0 for the lowest one), the calculation gives 93 meV/atom. The calculation puts the formation energy from the elements at 0.351 eV/atom. The calculation puts the total energy at -3.898 eV per atom. The volume comes out at 70 Å³ per cell.

Lattice parameters (Å, degrees): 2.844 4.544 5.477 90.00 99.63 90.00
Space group Pm (No. 6)
Symmetry-distinct sites (fractional):
Ca1 0.000 0.000 0.000 (multiplicity 1)
Zn1 0.369 0.000 0.487 (multiplicity 1)
Zn2 0.419 0.500 0.768 (multiplicity 1)
Re1 0.736 0.500 0.338 (multiplicity 1)

Entry 6:
This record from Alexandria describes a geometry-optimized CaZn2Re structure. The functional is PBE.

Its total magnetization is 0.1606 μB/atom. For the polymorph energy (0 for the lowest one), the calculation gives 124 meV/atom. The calculation puts the formation energy from the elements at 0.382 eV/atom. The calculation puts the total energy at -3.868 eV per atom. The volume comes out at 280 Å³ per cell.

Lattice parameters (Å, degrees): 6.543 6.543 6.543 90.00 90.00 90.00
Space group Fm-3m (No. 225)
Symmetry-distinct sites (fractional):
Ca1 0.000 0.000 0.000 (multiplicity 4)
Zn1 0.250 0.250 0.250 (multiplicity 8)
Re1 0.000 0.000 0.500 (multiplicity 4)

Entry 7:
This record from Alexandria describes a geometry-optimized CaZn2Re structure. The functional is PBE.

Its total magnetization is 0.0000 μB/atom. For the polymorph energy (0 for the lowest one), the calculation gives 84 meV/atom. The calculation puts the formation energy from the elements at 0.342 eV/atom. The calculation puts the total energy at -3.907 eV per atom. The volume comes out at 138 Å³ per cell.

Lattice parameters (Å, degrees): 3.769 4.112 8.894 90.00 90.00 90.00
Space group Cmm2 (No. 35)
Symmetry-distinct sites (fractional):
Ca1 0.000 0.000 0.000 (multiplicity 2)
Zn1 0.000 0.000 0.500 (multiplicity 2)
Zn2 0.000 0.500 0.276 (multiplicity 2)
Re1 0.000 0.500 0.724 (multiplicity 2)

Entry 8:
This record from Alexandria describes a geometry-optimized Ca4ZnRe structure. The functional is PBE.

Its total magnetization is 0.3860 μB/atom. The calculation puts the formation energy from the elements at 1.129 eV/atom. The calculation puts the total energy at -2.493 eV per atom. The volume comes out at 663 Å³ per cell.

Lattice parameters (Å, degrees): 8.718 8.718 8.718 90.00 90.00 90.00
Space group F-43m (No. 216)
Symmetry-distinct sites (fractional):
Ca1 0.124 0.124 0.124 (multiplicity 16)
Zn1 0.000 0.000 0.500 (multiplicity 4)
Re1 0.250 0.250 0.750 (multiplicity 4)

Entry 9:
This record from Alexandria describes a geometry-optimized CaZn2Re structure. The functional is PBE.

Its total magnetization is 0.0000 μB/atom. For the polymorph energy (0 for the lowest one), the calculation gives 105 meV/atom. The calculation puts the formation energy from the elements at 0.363 eV/atom. The calculation puts the total energy at -3.886 eV per atom. The volume comes out at 139 Å³ per cell.

Lattice parameters (Å, degrees): 2.878 4.927 9.818 90.00 90.00 90.00
Space group Imm2 (No. 44)
Symmetry-distinct sites (fractional):
Ca1 0.000 0.000 0.000 (multiplicity 2)
Zn1 0.000 0.000 0.499 (multiplicity 2)
Zn2 0.000 0.500 0.772 (multiplicity 2)
Re1 0.000 0.500 0.225 (multiplicity 2)

Entry 10:
This record from Alexandria describes a geometry-optimized CaZnRe structure. The functional is PBE.

Its total magnetization is 0.7155 μB/atom. For the polymorph energy (0 for the lowest one), the calculation gives 565 meV/atom. The calculation puts the formation energy from the elements at 1.021 eV/atom. The calculation puts the total energy at -4.220 eV per atom. The volume comes out at 264 Å³ per cell.

Lattice parameters (Å, degrees): 6.412 6.412 6.412 90.00 90.00 90.00
Space group F-43m (No. 216)
Symmetry-distinct sites (fractional):
Ca1 0.000 0.000 0.000 (multiplicity 4)
Zn1 0.250 0.250 0.250 (multiplicity 4)
Re1 0.000 0.000 0.500 (multiplicity 4)

Entry 11:
This record from Alexandria describes a geometry-optimized Ca2ZnRe4 structure. The functional is PBE.

Its total magnetization is 0.4760 μB/atom. The calculation puts the formation energy from the elements at 1.977 eV/atom. The calculation puts the total energy at -5.890 eV per atom. The volume comes out at 318 Å³ per cell.

Lattice parameters (Å, degrees): 4.577 4.577 15.176 90.00 90.00 90.00
Space group I4/mmm (No. 139)
Symmetry-distinct sites (fractional):
Ca1 0.000 0.000 0.145 (multiplicity 4)
Zn1 0.000 0.000 0.500 (multiplicity 2)
Re1 0.000 0.000 0.351 (multiplicity 4)
Re2 0.000 0.500 0.000 (multiplicity 4)

Entry 12:
This record from Alexandria describes a geometry-optimized CaZn2Re structure. The functional is PBE.

Its total magnetization is 0.0001 μB/atom. For the polymorph energy (0 for the lowest one), the calculation gives 0 meV/atom. The calculation puts the formation energy from the elements at 0.258 eV/atom. The calculation puts the total energy at -3.991 eV per atom. The volume comes out at 72 Å³ per cell.

Lattice parameters (Å, degrees): 3.356 3.356 6.371 90.00 90.00 90.00
Space group P4/mmm (No. 123)
Symmetry-distinct sites (fractional):
Ca1 0.000 0.000 0.000 (multiplicity 1)
Zn1 0.500 0.500 0.303 (multiplicity 2)
Re1 0.000 0.000 0.500 (multiplicity 1)

Entry 13:
This record from Alexandria describes a geometry-optimized CaZn3Re structure. The functional is PBE.

Its total magnetization is 0.0000 μB/atom. For the polymorph energy (0 for the lowest one), the calculation gives 0 meV/atom. The calculation puts the formation energy from the elements at 0.325 eV/atom. The calculation puts the total energy at -3.330 eV per atom. The volume comes out at 114 Å³ per cell.

Lattice parameters (Å, degrees): 4.852 4.852 4.852 90.00 90.00 90.00
Space group Pm-3m (No. 221)
Symmetry-distinct sites (fractional):
Ca1 0.000 0.000 0.000 (multiplicity 1)
Zn1 0.000 0.500 0.500 (multiplicity 3)
Re1 0.500 0.500 0.500 (multiplicity 1)

Entry 14:
This record from Alexandria describes a geometry-optimized CaZn2Re structure. The functional is PBE.

Its total magnetization is 0.0000 μB/atom. For the polymorph energy (0 for the lowest one), the calculation gives 172 meV/atom. The calculation puts the formation energy from the elements at 0.430 eV/atom. The calculation puts the total energy at -3.820 eV per atom. The volume comes out at 152 Å³ per cell.

Lattice parameters (Å, degrees): 2.980 5.096 9.997 90.00 90.00 90.00
Space group Immm (No. 71)
Symmetry-distinct sites (fractional):
Ca1 0.000 0.000 0.000 (multiplicity 2)
Zn1 0.000 0.500 0.215 (multiplicity 4)
Re1 0.000 0.000 0.500 (multiplicity 2)

Entry 15:
This record from Alexandria describes a geometry-optimized CaZn2Re structure. The functional is PBE.

Its total magnetization is 0.0000 μB/atom. For the polymorph energy (0 for the lowest one), the calculation gives 51 meV/atom. The calculation puts the formation energy from the elements at 0.310 eV/atom. The calculation puts the total energy at -3.940 eV per atom. The volume comes out at 69 Å³ per cell.

Lattice parameters (Å, degrees): 2.814 2.814 8.732 90.00 90.00 90.00
Space group P4/mmm (No. 123)
Symmetry-distinct sites (fractional):
Ca1 0.000 0.000 0.000 (multiplicity 1)
Zn1 0.500 0.500 0.275 (multiplicity 2)
Re1 0.000 0.000 0.500 (multiplicity 1)